No. 1
4
Lattice="4.723 0.000 0.000 0.000 4.723 0.000 0.000 0.000 2.909" Properties=species:S:1:pos:R:3 comment="LaTaCo2 PBEsol optimized geometry" relative_energy_mev_per_atom=52.2 sg="P4/mmm (123)" pbc="T T T"
La 0.000 0.000 0.000
Ta 2.361 2.361 0.000
Co 0.000 2.361 1.454
Co 2.361 0.000 1.454

---

No. 2
16
Lattice="6.266 0.000 0.000 0.000 6.266 0.000 0.000 0.000 6.266" Properties=species:S:1:pos:R:3 comment="Li2ReF PBEsol optimized geometry" raw_formation_energy_ev_per_atom=0.743 sg="Fm-3m (225)" pbc="T T T"
Li 1.567 1.567 1.567
Li 1.567 1.567 4.700
Li 1.567 4.700 1.567
Li 1.567 4.700 4.700
Li 4.700 1.567 1.567
Li 4.700 1.567 4.700
Li 4.700 4.700 1.567
Li 4.700 4.700 4.700
Re 0.000 0.000 0.000
Re 0.000 3.133 3.133
Re 3.133 0.000 3.133
Re 3.133 3.133 0.000
F 0.000 0.000 3.133
F 0.000 3.133 0.000
F 3.133 0.000 0.000
F 3.133 3.133 3.133

---

No. 3
8
Lattice="4.157 0.000 0.000 0.000 4.157 0.000 0.000 0.000 8.672" Properties=species:S:1:pos:R:3 comment="Hg2PtSe PBEsol optimized geometry" relative_energy_mev_per_atom=163.5 raw_formation_energy_ev_per_atom=0.227 sg="I4/mmm (139)" pbc="T T T"
Hg 0.000 2.078 2.168
Hg 0.000 2.078 6.504
Hg 2.078 0.000 2.168
Hg 2.078 0.000 6.504
Pt 0.000 0.000 0.000
Pt 2.078 2.078 4.336
Se 0.000 0.000 4.336
Se 2.078 2.078 0.000

---

No. 4
8
Lattice="4.537 0.000 0.000 0.000 12.529 0.000 0.000 0.000 5.295" Properties=species:S:1:pos:R:3 comment="BaCd PBEsol optimized geometry" final_energy_ev_per_atom=-1.939 sg="Cmcm (63)" pbc="T T T"
Ba 0.000 1.802 1.324
Ba 0.000 10.727 3.971
Ba 2.269 4.463 3.971
Ba 2.269 8.066 1.324
Cd 0.000 5.438 1.324
Cd 0.000 7.091 3.971
Cd 2.269 0.826 3.971
Cd 2.269 11.702 1.324

---

No. 5
12
Lattice="5.381 0.000 0.000 0.000 4.428 0.000 0.000 0.000 8.166" Properties=species:S:1:pos:R:3 comment="Ta2Ru PBEsol optimized geometry" final_energy_ev_per_atom=-11.954 sg="Pnma (62)" pbc="T T T"
Ta 0.091 1.107 1.967
Ta 0.912 1.107 4.793
Ta 1.779 3.321 0.710
Ta 2.599 3.321 6.049
Ta 2.781 1.107 2.116
Ta 3.602 1.107 7.456
Ta 4.469 3.321 3.373
Ta 5.290 3.321 6.199
Ru 0.951 1.107 7.591
Ru 1.740 3.321 3.508
Ru 3.641 1.107 4.658
Ru 4.430 3.321 0.575

---

No. 6
24
Lattice="5.980 -4.318 0.000 5.980 4.318 0.000 -1.379 0.000 5.238" Properties=species:S:1:pos:R:3 comment="Li4CuF7 PBEsol optimized geometry" relative_energy_mev_per_atom=46.8 raw_formation_energy_ev_per_atom=-2.361 sg="C2/c (15)" pbc="T T T"
Li 1.299 0.448 1.023
Li 0.609 -0.448 3.642
Li 3.317 0.981 3.306
Li 4.007 -0.981 0.687
Li 6.573 0.981 4.551
Li 7.263 -0.981 1.932
Li 9.971 0.448 1.595
Li 9.281 -0.448 4.214
Cu 5.635 1.965 1.309
Cu 4.945 -1.965 3.928
F 5.635 3.830 1.309
F 1.601 0.824 2.789
F 3.699 2.099 4.775
F 2.291 -0.824 0.170
F 4.330 0.685 1.694
F 6.192 2.099 3.082
F 3.641 -0.685 4.313
F 6.939 0.685 0.925
F 4.388 -2.099 2.156
F 6.250 -0.685 3.544
F 8.289 0.824 5.068
F 6.881 -2.099 0.463
F 8.979 -0.824 2.449
F 4.945 -3.830 3.928

---

No. 7
4
Lattice="3.100 0.000 0.000 0.000 3.100 0.000 0.000 0.000 5.956" Properties=species:S:1:pos:R:3 comment="ScSiRh2 PBEsol optimized geometry" raw_formation_energy_ev_per_atom=-0.877 sg="P4/mmm (123)" pbc="T T T"
Sc 0.000 0.000 0.000
Si 0.000 0.000 2.978
Rh 1.550 1.550 1.633
Rh 1.550 1.550 4.323

---

No. 8
5
Lattice="4.673 0.000 0.000 0.000 4.673 0.000 0.000 0.000 5.583" Properties=species:S:1:pos:R:3 comment="RbMgTiW2 PBEsol optimized geometry" final_energy_ev_per_atom=-5.708 sg="P4/mmm (123)" pbc="T T T"
Rb 0.000 0.000 0.000
Mg 2.336 2.336 0.000
Ti 0.000 0.000 2.791
W 0.000 2.336 2.791
W 2.336 0.000 2.791

---

No. 9
5
Lattice="5.192 0.000 0.000 0.000 5.192 0.000 0.000 0.000 5.192" Properties=species:S:1:pos:R:3 comment="Li3CrI PBEsol optimized geometry" raw_formation_energy_ev_per_atom=0.510 sg="Pm-3m (221)" pbc="T T T"
Li 0.000 0.000 2.596
Li 0.000 2.596 0.000
Li 2.596 0.000 0.000
Cr 0.000 0.000 0.000
I 2.596 2.596 2.596

---

No. 10
4
Lattice="2.940 0.000 0.000 0.000 2.940 0.000 0.000 0.000 5.873" Properties=species:S:1:pos:R:3 comment="ReSi2Ru PBEsol optimized geometry" raw_formation_energy_ev_per_atom=-0.471 sg="P4/mmm (123)" pbc="T T T"
Re 0.000 0.000 0.000
Si 1.470 1.470 1.471
Si 1.470 1.470 4.402
Ru 0.000 0.000 2.936

---

No. 11
16
Lattice="5.136 0.000 0.000 -1.747 5.111 0.000 -1.344 -2.365 6.390" Properties=species:S:1:pos:R:3 comment="MgTiSiO5 PBEsol optimized geometry" raw_formation_energy_ev_per_atom=-2.871 sg="P1 (1)" pbc="T T T"
Mg 0.000 0.000 0.000
Mg -0.050 1.871 2.845
Ti 2.539 0.978 1.329
Ti 1.942 -0.249 4.530
Si -0.555 0.862 6.025
Si 2.650 3.806 2.956
O -1.500 0.748 4.687
O 0.277 -1.187 4.234
O 0.919 1.892 0.625
O 0.093 4.429 0.516
O 1.607 0.721 2.884
O 0.971 1.236 5.539
O 1.133 3.434 3.459
O 2.239 -1.133 6.115
O 4.258 0.028 1.962
O 3.345 2.608 2.064

---

No. 12
12
Lattice="9.124 0.000 0.000 0.000 2.956 0.000 -1.765 0.000 5.520" Properties=species:S:1:pos:R:3 comment="Fe2Mo PBEsol optimized geometry" final_energy_ev_per_atom=-9.779 sg="C2/m (12)" pbc="T T T"
Fe -0.404 0.000 1.300
Fe 1.363 1.478 0.409
Fe 1.434 0.000 5.111
Fe 3.201 1.478 4.219
Fe 4.158 1.478 1.300
Fe 5.925 0.000 0.409
Fe 5.996 1.478 5.111
Fe 7.763 0.000 4.219
Mo 0.466 1.478 3.276
Mo 2.332 0.000 2.244
Mo 5.028 0.000 3.276
Mo 6.894 1.478 2.244

---

No. 13
5
Lattice="4.687 0.000 0.000 0.000 4.687 0.000 0.000 0.000 4.295" Properties=species:S:1:pos:R:3 comment="Sc2AlFeRu PBEsol optimized geometry" final_energy_ev_per_atom=-7.051 sg="P4/mmm (123)" pbc="T T T"
Sc 0.000 2.344 0.000
Sc 2.344 0.000 0.000
Al 0.000 0.000 2.147
Fe 2.344 2.344 0.000
Ru 2.344 2.344 2.147

---

No. 14
4
Lattice="4.452 0.000 0.000 0.000 4.452 0.000 0.000 0.000 3.445" Properties=species:S:1:pos:R:3 comment="BaTc2P PBEsol optimized geometry" final_energy_ev_per_atom=-6.612 sg="P4/mmm (123)" pbc="T T T"
Ba 0.000 0.000 0.000
Tc 0.000 2.226 1.722
Tc 2.226 0.000 1.722
P 2.226 2.226 0.000

---

No. 15
5
Lattice="3.874 0.000 0.000 0.000 3.874 0.000 0.000 0.000 4.023" Properties=species:S:1:pos:R:3 comment="P2OsOF PBEsol optimized geometry" raw_formation_energy_ev_per_atom=1.019 sg="P4/mmm (123)" pbc="T T T"
P 0.000 1.937 0.000
P 1.937 0.000 0.000
Os 0.000 0.000 2.012
O 1.937 1.937 2.012
F 1.937 1.937 0.000

---

No. 16
5
Lattice="5.340 0.000 0.000 0.000 5.340 0.000 0.000 0.000 5.340" Properties=species:S:1:pos:R:3 comment="NaAgSn3 PBEsol optimized geometry" final_energy_ev_per_atom=-3.226 sg="Pm-3m (221)" pbc="T T T"
Na 0.000 0.000 0.000
Ag 2.670 2.670 2.670
Sn 0.000 2.670 2.670
Sn 2.670 0.000 2.670
Sn 2.670 2.670 0.000

---

No. 17
5
Lattice="4.507 0.000 0.000 0.000 4.507 0.000 0.000 0.000 4.236" Properties=species:S:1:pos:R:3 comment="ReSbOF2 PBEsol optimized geometry" raw_formation_energy_ev_per_atom=0.041 sg="P4/mmm (123)" pbc="T T T"
Re 0.000 0.000 0.000
Sb 2.253 2.253 2.118
O 2.253 2.253 0.000
F 0.000 2.253 2.118
F 2.253 0.000 2.118

---

No. 18
4
Lattice="2.813 0.000 0.000 0.000 2.813 0.000 -0.029 0.000 6.927" Properties=species:S:1:pos:R:3 comment="BeAsPt2 PBEsol optimized geometry" final_energy_ev_per_atom=-6.106 sg="P2/m (10)" pbc="T T T"
Be 0.000 0.000 0.000
As -0.014 0.000 3.464
Pt 1.377 1.407 5.533
Pt 1.407 1.407 1.395

---

No. 19
10
Lattice="6.931 0.000 0.000 0.000 6.931 0.000 0.000 0.000 4.394" Properties=species:S:1:pos:R:3 comment="Y2AlGa2 PBEsol optimized geometry" final_energy_ev_per_atom=-5.561 sg="P4/mbm (127)" pbc="T T T"
Y 1.201 2.264 0.000
Y 2.264 5.730 0.000
Y 4.667 1.201 0.000
Y 5.730 4.667 0.000
Al 0.000 0.000 2.197
Al 3.465 3.465 2.197
Ga 0.896 4.362 2.197
Ga 2.569 0.896 2.197
Ga 4.362 6.034 2.197
Ga 6.034 2.569 2.197

---

No. 20
12
Lattice="4.483 0.000 0.000 -2.241 3.882 0.000 0.000 0.000 26.383" Properties=species:S:1:pos:R:3 comment="AlTe2Pb PBEsol optimized geometry" raw_formation_energy_ev_per_atom=0.213 sg="R-3m (166)" pbc="T T T"
Al 0.000 0.000 0.000
Al 0.000 2.588 17.589
Al 2.241 1.294 8.794
Te 0.000 0.000 2.552
Te 0.000 0.000 23.831
Te 0.000 2.588 15.036
Te 0.000 2.588 20.141
Te 2.241 1.294 6.242
Te 2.241 1.294 11.347
Pb 0.000 0.000 13.192
Pb 0.000 2.588 4.397
Pb 2.241 1.294 21.986

---

No. 21
8
Lattice="4.211 0.000 0.000 0.000 4.116 0.000 0.000 0.000 11.447" Properties=species:S:1:pos:R:3 comment="LiY2Te PBEsol optimized geometry" raw_formation_energy_ev_per_atom=-0.714 sg="Amm2 (38)" pbc="T T T"
Li 0.000 0.000 0.000
Li 0.000 2.058 5.724
Y 0.000 0.000 3.115
Y 0.000 2.058 8.839
Y 2.106 0.000 6.622
Y 2.106 2.058 0.899
Te 2.106 0.000 9.805
Te 2.106 2.058 4.082

---

No. 22
8
Lattice="2.808 0.000 0.000 0.000 5.441 0.000 0.000 0.000 11.660" Properties=species:S:1:pos:R:3 comment="KHg2Mo PBEsol optimized geometry" relative_energy_mev_per_atom=160.9 sg="Imm2 (44)" pbc="T T T"
K 0.000 0.000 0.000
K 1.404 2.721 5.830
Hg 0.000 0.000 6.078
Hg 0.000 2.721 8.998
Hg 1.404 0.000 3.168
Hg 1.404 2.721 0.248
Mo 0.000 2.721 2.660
Mo 1.404 0.000 8.490

---

No. 23
4
Lattice="2.933 0.000 0.000 0.000 2.933 0.000 0.000 0.000 7.470" Properties=species:S:1:pos:R:3 comment="CaTc2P PBEsol optimized geometry" final_energy_ev_per_atom=-7.751 sg="P4mm (99)" pbc="T T T"
Ca 0.000 0.000 0.000
Tc 0.000 0.000 3.422
Tc 1.466 1.466 5.130
P 1.466 1.466 2.157

---

No. 24
10
Lattice="8.391 0.000 0.000 0.000 8.391 0.000 0.000 0.000 3.915" Properties=species:S:1:pos:R:3 comment="KSe2S2 PBEsol optimized geometry" raw_formation_energy_ev_per_atom=-0.210 sg="P4/mbm (127)" pbc="T T T"
K 0.000 0.000 0.000
K 4.195 4.195 0.000
Se 1.246 2.949 0.000
Se 2.949 7.145 0.000
Se 5.441 1.246 0.000
Se 7.145 5.441 0.000
S 2.081 6.276 1.958
S 2.115 2.081 1.958
S 6.276 6.310 1.958
S 6.310 2.115 1.958

---

No. 25
12
Lattice="3.615 0.000 0.000 0.000 3.615 0.000 0.000 0.000 28.512" Properties=species:S:1:pos:R:3 comment="CaBr2 PBEsol optimized geometry" raw_formation_energy_ev_per_atom=-1.844 sg="I4_1/amd (141)" pbc="T T T"
Ca 0.000 0.904 10.692
Ca 0.000 2.712 17.820
Ca 1.808 0.904 3.564
Ca 1.808 2.712 24.948
Br 0.000 0.904 23.280
Br 0.000 0.904 26.616
Br 0.000 2.712 1.896
Br 0.000 2.712 5.232
Br 1.808 0.904 16.152
Br 1.808 0.904 19.488
Br 1.808 2.712 9.024
Br 1.808 2.712 12.360

---

What did we get for DOS(E_F)? Answer: 4.41 10.29 2.28 6.15 7.32 8.84 1.58 6.97 2.32 2.04 0.00 10.87 4.15 5.62 3.13 2.55 0.79 1.94 5.25 9.73 6.55 5.75 3.29 5.20 0.00 states/eV per cell, in the order shown.